No. 1
# BeAsSe2

A geometry-optimized BeAsSe2 structure (PBE-GGA, Alexandria via LeMat-Bulk).

Properties
- formation energy without anion corrections (eV per atom) = 0.109
- energy relative to the lowest polymorph listed for this composition (meV per atom) = 225
- SG = Cmmm (65)

Cell: 3.6012 4.6321 4.6320 Å, 70.39 90.00 90.00°
Fractional positions:
Be 0.5000 0.7500 0.7500
As 0.5000 0.2500 0.2500
Se 0.0000 0.5243 0.5242
Se 0.0000 0.9757 0.9758

No. 2
# BeHg2MoP

A geometry-optimized BeHg2MoP structure (PBE-GGA, Alexandria via LeMat-Bulk).

Properties
- E_form (kcal/mol of atoms) = 21.32
- SG = P4/mmm (123)

Cell: 4.5370 4.5430 4.5370 Å, 90.00 90.00 90.00°
Fractional positions:
Mo 0.0000 0.5000 0.0000
P 0.5000 0.5000 0.5000
Be 0.0000 0.0000 0.0000
Hg 0.5000 0.0000 0.0000
Hg 0.0000 0.0000 0.5000

No. 3
# Ta2P2I

A geometry-optimized Ta2P2I structure (PBE-GGA, Alexandria via LeMat-Bulk).

Properties
- formation energy without anion corrections (eV per atom) = -0.167
- energy relative to the lowest polymorph listed for this composition (meV per atom) = 0
- SG = P4/mbm (127)

Cell: 7.5237 7.5237 3.2609 Å, 90.00 90.00 90.00°
Fractional positions:
Ta 0.1333 0.3667 0.0000
Ta 0.8667 0.6333 0.0000
Ta 0.3667 0.8667 0.0000
Ta 0.6333 0.1333 0.0000
P 0.1367 0.6367 0.5000
P 0.3633 0.1367 0.5000
P 0.8633 0.3633 0.5000
P 0.6367 0.8633 0.5000
I 0.0000 0.0000 0.0000
I 0.5000 0.5000 0.0000

No. 4
# NdTmTlGe

A geometry-optimized NdTmTlGe structure (PBE-GGA, Alexandria via LeMat-Bulk).

Properties
- E_form (kcal/mol of atoms) = -9.50
- SG = F-43m (216)

Cell: 5.2748 5.2748 5.2748 Å, 60.00 60.00 60.00°
Fractional positions:
Tm 0.5000 0.5000 0.5000
Nd 0.0000 0.0000 0.0000
Tl 0.7500 0.7500 0.7500
Ge 0.2500 0.2500 0.2500

No. 5
# Na2LaSmS4

A geometry-optimized Na2LaSmS4 structure (PBE-GGA, Alexandria via LeMat-Bulk).

Properties
- formation energy without anion corrections (eV per atom) = -1.834
- SG = P2/m (10)

Cell: 4.1547 7.2001 7.0856 Å, 109.79 90.00 90.00°
Fractional positions:
Na 0.5000 0.0000 0.5000
Na 0.0000 0.5000 0.5000
S 0.5000 0.2509 0.2334
S 0.0000 0.7380 0.2315
S 0.0000 0.2620 0.7685
S 0.5000 0.7491 0.7666
Sm 0.5000 0.5000 0.0000
La 0.0000 0.0000 0.0000

No. 6
# Ba5LiZn2

A geometry-optimized Ba5LiZn2 structure (PBE-GGA, Alexandria via LeMat-Bulk).

Properties
- E_form (kcal/mol of atoms) = -1.54
- SG = I4/mcm (140)

Cell: 9.3407 9.3407 10.5100 Å, 116.38 116.38 90.00°
Fractional positions:
Zn 0.8789 0.6211 0.0000
Zn 0.1211 0.3789 0.0000
Zn 0.6211 0.1211 0.0000
Zn 0.3789 0.8789 0.0000
Ba 0.0260 0.5260 0.7270
Ba 0.5260 0.7010 0.7270
Ba 0.7010 0.2010 0.7270
Ba 0.7990 0.9740 0.2730
Ba 0.2010 0.0260 0.7270
Ba 0.5000 0.5000 0.0000
Ba 0.9740 0.4740 0.2730
Ba 0.2990 0.7990 0.2730
Ba 0.0000 0.0000 0.0000
Ba 0.4740 0.2990 0.2730
Li 0.7500 0.7500 0.5000
Li 0.2500 0.2500 0.5000

No. 7
# Tl3Bi2Pb2

A geometry-optimized Tl3Bi2Pb2 structure (PBE-GGA, Alexandria via LeMat-Bulk).

Properties
- E_form (kcal/mol of atoms) = 1.62
- energy relative to the lowest polymorph listed for this composition (meV per atom) = 81
- SG = P2/m (10)

Cell: 5.4589 3.4009 12.6075 Å, 90.00 103.05 90.00°
Fractional positions:
Pb 0.1359 0.0000 0.2686
Pb 0.8641 0.0000 0.7314
Tl 0.7148 0.0000 0.4284
Tl 0.0000 0.0000 0.0000
Tl 0.2852 0.0000 0.5716
Bi 0.5791 0.5000 0.1570
Bi 0.4209 0.5000 0.8430

No. 8
# ZrRe3Sb

A geometry-optimized ZrRe3Sb structure (PBE-GGA, Alexandria via LeMat-Bulk).

Properties
- formation energy without anion corrections (eV per atom) = 1.972
- energy relative to the lowest polymorph listed for this composition (meV per atom) = 0
- SG = Pm-3m (221)

Cell: 4.7896 4.7896 4.7896 Å, 90.00 90.00 90.00°
Fractional positions:
Re 0.0000 0.0000 0.5000
Re 0.5000 0.0000 0.0000
Re 0.0000 0.5000 0.0000
Zr 0.5000 0.5000 0.5000
Sb 0.0000 0.0000 0.0000

No. 9
# TbNdDy2Te6

A geometry-optimized TbNdDy2Te6 structure (PBE-GGA, Alexandria via LeMat-Bulk).

Properties
- formation energy without anion corrections (eV per atom) = -1.367
- SG = R3 (146)

Cell: 7.7722 7.7722 8.3693 Å, 62.34 62.34 60.00°
Fractional positions:
Te 0.4020 0.7320 0.7505
Te 0.6049 0.2354 0.2473
Te 0.7320 0.1156 0.7505
Te 0.1155 0.4019 0.7504
Te 0.2354 0.9125 0.2473
Te 0.9125 0.6049 0.2472
Nd 0.8198 0.8197 0.5407
Tb 0.3221 0.3222 0.0335
Dy 0.0079 0.0078 0.9764
Dy 0.5096 0.5096 0.4712

No. 10
# TbTmCd14

A geometry-optimized TbTmCd14 structure (PBE-GGA, Alexandria via LeMat-Bulk).

Properties
- E_form (kcal/mol of atoms) = -3.01
- SG = P4/mmm (123)

Cell: 6.5801 6.5801 8.5060 Å, 90.00 90.00 90.00°
Fractional positions:
Cd 0.6236 0.6236 0.2429
Cd 0.6237 0.1263 0.7572
Cd 0.6237 0.1263 0.2428
Cd 0.8750 0.3750 0.0000
Cd 0.8750 0.8750 0.0000
Cd 0.1263 0.6237 0.7572
Cd 0.3750 0.3750 0.0000
Cd 0.1264 0.1264 0.2429
Cd 0.1263 0.6237 0.2428
Cd 0.6236 0.6236 0.7571
Cd 0.3750 0.8750 0.0000
Cd 0.3750 0.8750 0.5000
Cd 0.1264 0.1264 0.7571
Cd 0.8750 0.3750 0.5000
Tb 0.8750 0.8750 0.5000
Tm 0.3750 0.3750 0.5000

No. 11
# TiCrAu2

A geometry-optimized TiCrAu2 structure (PBE-GGA, Alexandria via LeMat-Bulk).

Properties
- E_form (kcal/mol of atoms) = -1.54
- energy relative to the lowest polymorph listed for this composition (meV per atom) = 35
- SG = P4/mmm (123)

Cell: 3.1615 3.1615 6.8559 Å, 90.00 90.00 90.00°
Fractional positions:
Au 0.0000 0.0000 0.7482
Au 0.0000 0.0000 0.2518
Cr 0.5000 0.5000 0.5000
Ti 0.5000 0.5000 0.0000

No. 12
# Hg2Ge2As

A geometry-optimized Hg2Ge2As structure (PBE-GGA, Alexandria via LeMat-Bulk).

Properties
- E_form (kcal/mol of atoms) = 6.25
- SG = P4/mbm (127)

Cell: 6.8885 6.8885 4.9368 Å, 90.00 90.00 90.00°
Fractional positions:
Ge 0.6390 0.1390 0.0000
Ge 0.3610 0.8610 0.0000
Ge 0.1390 0.3610 0.0000
Ge 0.8610 0.6390 0.0000
Hg 0.3213 0.1787 0.5000
Hg 0.6787 0.8213 0.5000
Hg 0.8213 0.3213 0.5000
Hg 0.1787 0.6787 0.5000
As 0.0000 0.0000 0.0000
As 0.5000 0.5000 0.0000

DFT total energy (computed, Ry/atom): -0.274; -0.234; -0.543; -0.328; -0.399; -0.134; -0.229; -0.590; -0.376; -0.110; -0.447; -0.193